Record 1
Here is K2SrMgBr6 after structural relaxation from Alexandria. Energies are from GGA-PBE.

Results
DOS at the Fermi energy ... 0.0 states/eV per cell
Total moment ... 0.00 μB per formula unit
Energy relative to the elements, uncorrected ... -1.7682 eV per atom
Symmetry ... P2_1/c (14)

Cell: 7.674 8.016 11.010 Å, 90.00 90.39 90.00°
Sites, in units of the cell vectors:
K1 0.025 0.928 0.248
K2 0.525 0.572 0.748
K3 0.975 0.072 0.752
K4 0.475 0.428 0.252
Sr1 0.500 0.000 0.000
Sr2 0.000 0.500 0.500
Mg1 0.500 0.000 0.500
Mg2 0.000 0.500 0.000
Br1 0.286 0.686 0.051
Br2 0.786 0.814 0.551
Br3 0.714 0.314 0.949
Br4 0.214 0.186 0.449
Br5 0.318 0.716 0.444
Br6 0.818 0.784 0.944
Br7 0.682 0.284 0.556
Br8 0.182 0.216 0.056
Br9 0.896 0.529 0.233
Br10 0.396 0.971 0.733
Br11 0.104 0.471 0.767
Br12 0.604 0.029 0.267

***

Record 2
Here is LaYNi3 after structural relaxation from Alexandria. Energies are from GGA-PBE.

Results
DOS at the Fermi energy ... 9.9 states/eV per cell
DFT formation energy ... -0.3538 eV per atom
Total moment ... 0.00 μB per formula unit
Symmetry ... Cmcm (63)
Relative energy among the computed polymorphs ... 15 meV per atom

Cell: 4.042 3.848 12.843 Å, 98.62 90.00 90.00°
Sites, in units of the cell vectors:
La1 0.250 0.803 0.607
La2 0.750 0.197 0.393
Y1 0.250 0.067 0.133
Y2 0.750 0.933 0.867
Ni1 0.250 0.387 0.774
Ni2 0.750 0.613 0.226
Ni3 0.250 0.478 0.955
Ni4 0.750 0.522 0.045
Ni5 0.750 0.334 0.669
Ni6 0.250 0.666 0.331

***

Record 3
Here is BePb2F2 after structural relaxation from Alexandria. Energies are from GGA-PBE.

Results
DOS at the Fermi energy ... 2.2 states/eV per cell
Total moment ... 0.00 μB per formula unit
Energy relative to the elements, uncorrected ... -0.8406 eV per atom
Symmetry ... P4/mbm (127)
Relative energy among the computed polymorphs ... 0 meV per atom

Cell: 7.294 7.294 3.798 Å, 90.00 90.00 90.00°
Sites, in units of the cell vectors:
Pb1 0.285 0.785 0.000
Pb2 0.785 0.715 0.000
Pb3 0.715 0.215 0.000
Pb4 0.215 0.285 0.000
Be1 0.000 0.000 0.000
Be2 0.500 0.500 0.000
F1 0.140 0.640 0.500
F2 0.640 0.860 0.500
F3 0.860 0.360 0.500
F4 0.360 0.140 0.500

***

Record 4
Here is CsB2Pb2 after structural relaxation from Alexandria. Energies are from GGA-PBE.

Results
DOS at the Fermi energy ... 2.1 states/eV per cell
DFT formation energy ... 0.8512 eV per atom
Total moment ... 0.00 μB per formula unit
Symmetry ... I4/mmm (139)

Cell: 5.000 5.000 5.897 Å, 64.92 64.92 90.00°
Sites, in units of the cell vectors:
Pb1 0.750 0.250 0.500
Pb2 0.250 0.750 0.500
Cs1 0.000 0.000 0.000
B1 0.412 0.412 0.177
B2 0.588 0.588 0.823

***

Record 5
Here is RbPSeBr2 after structural relaxation from Alexandria. Energies are from GGA-PBE.

Results
DOS at the Fermi energy ... 17.5 states/eV per cell
Total moment ... 0.00 μB per formula unit
Energy relative to the elements, uncorrected ... 1.0091 eV per atom
Symmetry ... P4/mmm (123)
Relative energy among the computed polymorphs ... 1552 meV per atom

Cell: 6.113 6.113 6.186 Å, 90.00 90.00 90.00°
Sites, in units of the cell vectors:
P1 0.500 0.500 0.500
Se1 0.000 0.000 0.500
Br1 0.000 0.500 0.000
Br2 0.500 0.000 0.000
Rb1 0.000 0.000 0.000

***

Record 6
Here is PmEr2F11 after structural relaxation from Alexandria. Energies are from GGA-PBE.

Results
DOS at the Fermi energy ... 24.9 states/eV per cell
Total moment ... 2.11 μB per formula unit
Energy relative to the elements, uncorrected ... -3.4571 eV per atom
Symmetry ... Ibam (72)

Cell: 8.329 8.708 8.708 Å, 71.99 61.43 61.43°
Last column: magnetic moment on the atom in μB.
Sites, in units of the cell vectors:
Pm1 0.750 0.750 0.750  -0.01
Pm2 0.250 0.250 0.250  -0.01
Er1 0.657 0.689 0.311  -0.02
Er2 0.343 0.311 0.689  -0.02
Er3 0.843 0.189 0.811  -0.02
Er4 0.157 0.811 0.189  -0.02
F1 0.657 0.709 0.554  0.13
F2 0.343 0.291 0.446  0.13
F3 0.081 0.554 0.709  0.13
F4 0.843 0.946 0.791  0.13
F5 0.919 0.446 0.291  0.13
F6 0.157 0.054 0.209  0.13
F7 0.419 0.791 0.946  0.13
F8 0.581 0.209 0.054  0.13
F9 0.500 0.500 0.500  0.41
F10 0.000 0.000 0.000  0.41
F11 0.890 0.803 0.197  0.25
F12 0.110 0.197 0.803  0.25
F13 0.610 0.303 0.697  0.25
F14 0.390 0.697 0.303  0.25
F15 0.465 0.966 0.314  0.13
F16 0.535 0.034 0.686  0.13
F17 0.255 0.314 0.966  0.13
F18 0.035 0.186 0.534  0.13
F19 0.745 0.686 0.034  0.13
F20 0.965 0.814 0.466  0.13
F21 0.245 0.534 0.186  0.13
F22 0.755 0.466 0.814  0.13

***

Record 7
Here is Tb2ThSc6 after structural relaxation from Alexandria. Energies are from GGA-PBE.

Results
DOS at the Fermi energy ... 16.2 states/eV per cell
DFT formation energy ... 0.1220 eV per atom
Total moment ... 0.00 μB per formula unit
Symmetry ... C2/m (12)
Relative energy among the computed polymorphs ... 12 meV per atom

Cell: 3.513 8.469 9.315 Å, 62.96 85.46 79.97°
Sites, in units of the cell vectors:
Tb1 0.500 0.819 0.362
Tb2 0.500 0.181 0.638
Th1 0.000 0.000 0.000
Sc1 0.146 0.822 0.687
Sc2 0.854 0.178 0.313
Sc3 0.335 0.345 0.000
Sc4 0.146 0.509 0.313
Sc5 0.854 0.491 0.687
Sc6 0.665 0.655 0.000

***

Record 8
Here is LaSm4Tm3Se8 after structural relaxation from Alexandria. Energies are from GGA-PBE.

Results
DOS at the Fermi energy ... 9.6 states/eV per cell
Total moment ... 0.00 μB per formula unit
Energy relative to the elements, uncorrected ... -1.7721 eV per atom
Symmetry ... R-3m (166)

Cell: 8.248 8.297 8.249 Å, 119.82 120.00 90.00°
Sites, in units of the cell vectors:
La1 0.000 0.500 0.000
Sm1 0.500 0.000 0.000
Sm2 0.500 0.000 0.500
Sm3 0.000 0.000 0.000
Sm4 0.000 0.000 0.500
Tm1 0.500 0.500 0.000
Tm2 0.500 0.500 0.500
Tm3 0.000 0.500 0.500
Se1 0.253 0.742 0.989
Se2 0.253 0.742 0.506
Se3 0.255 0.266 0.511
Se4 0.736 0.742 0.989
Se5 0.264 0.258 0.011
Se6 0.745 0.734 0.489
Se7 0.747 0.258 0.494
Se8 0.747 0.258 0.011

***

Record 9
Here is LiPm2Ge3Pt4 after structural relaxation from Alexandria. Energies are from GGA-PBE.

Results
DOS at the Fermi energy ... 4.9 states/eV per cell
DFT formation energy ... -0.9298 eV per atom
Total moment ... 0.00 μB per formula unit
Symmetry ... P-4m2 (115)

Cell: 4.287 4.287 10.264 Å, 90.00 90.00 90.00°
Sites, in units of the cell vectors:
Li1 0.500 0.500 0.500
Pm1 0.500 0.000 0.253
Pm2 0.000 0.500 0.747
Ge1 0.000 0.000 0.500
Ge2 0.500 0.000 0.865
Ge3 0.000 0.500 0.135
Pt1 0.500 0.500 0.000
Pt2 0.000 0.000 0.000
Pt3 0.500 0.000 0.628
Pt4 0.000 0.500 0.372

***

Record 10
Here is Be2HgPd2 after structural relaxation from Alexandria. Energies are from GGA-PBE.

Results
DOS at the Fermi energy ... 3.0 states/eV per cell
DFT formation energy ... -0.2084 eV per atom
Total moment ... 0.00 μB per formula unit
Symmetry ... P4/mbm (127)
Relative energy among the computed polymorphs ... 99 meV per atom

Cell: 7.100 7.100 2.764 Å, 90.00 90.00 90.00°
Sites, in units of the cell vectors:
Be1 0.149 0.649 0.500
Be2 0.649 0.851 0.500
Be3 0.851 0.351 0.500
Be4 0.351 0.149 0.500
Hg1 0.000 0.000 0.000
Hg2 0.500 0.500 0.000
Pd1 0.360 0.860 0.000
Pd2 0.860 0.640 0.000
Pd3 0.640 0.140 0.000
Pd4 0.140 0.360 0.000

***

Record 11
Here is Nd3Al2InPd9 after structural relaxation from Alexandria. Energies are from GGA-PBE.

Results
DOS at the Fermi energy ... 4.8 states/eV per cell
DFT formation energy ... -0.6121 eV per atom
Total moment ... 0.00 μB per formula unit
Symmetry ... P-3m1 (164)

Cell: 5.765 5.765 11.700 Å, 90.00 90.00 120.00°
Sites, in units of the cell vectors:
Nd1 0.333 0.667 0.754
Nd2 0.000 0.000 0.000
Nd3 0.667 0.333 0.246
Al1 0.333 0.667 0.160
Al2 0.667 0.333 0.840
In1 0.000 0.000 0.500
Pd1 0.837 0.163 0.689
Pd2 0.837 0.675 0.689
Pd3 0.325 0.163 0.689
Pd4 0.675 0.837 0.311
Pd5 0.163 0.325 0.311
Pd6 0.163 0.837 0.311
Pd7 0.500 0.000 0.000
Pd8 0.000 0.500 0.000
Pd9 0.500 0.500 0.000

***

Record 12
Here is MgPt2Rh after structural relaxation from Alexandria. Energies are from GGA-PBE.

Results
DOS at the Fermi energy ... 3.5 states/eV per cell
DFT formation energy ... -0.4513 eV per atom
Total moment ... 0.00 μB per formula unit
Symmetry ... Pmm2 (25)

Cell: 4.575 2.824 4.752 Å, 90.00 90.00 90.00°
Sites, in units of the cell vectors:
Mg1 0.500 0.625 0.813
Rh1 0.000 0.625 0.429
Pt1 0.000 0.125 0.937
Pt2 0.500 0.125 0.321

***

Record 13
Here is Ca6Si2N after structural relaxation from Alexandria. Energies are from GGA-PBE.

Results
DOS at the Fermi energy ... 0.7 states/eV per cell
Total moment ... 1.01 μB per formula unit
Energy relative to the elements, uncorrected ... -0.5229 eV per atom
Symmetry ... Fm-3m (225)
Relative energy among the computed polymorphs ... 0 meV per atom

Cell: 6.815 6.815 6.816 Å, 60.00 60.00 60.01°
Sites, in units of the cell vectors:
Ca1 0.258 0.258 0.741
Ca2 0.259 0.742 0.258
Ca3 0.741 0.258 0.742
Ca4 0.742 0.259 0.258
Ca5 0.258 0.741 0.742
Ca6 0.742 0.742 0.259
Si1 0.250 0.250 0.250
Si2 0.750 0.750 0.750
N1 0.500 0.500 0.500

***

Record 14
Here is InCo2Cu after structural relaxation from Alexandria. Energies are from GGA-PBE.

Results
DOS at the Fermi energy ... 3.8 states/eV per cell
DFT formation energy ... 0.2091 eV per atom
Total moment ... 3.02 μB per formula unit
Symmetry ... F-43m (216)

Cell: 4.257 4.257 4.257 Å, 60.00 60.00 60.00°
Last column: magnetic moment on the atom in μB.
Sites, in units of the cell vectors:
Co1 0.000 0.000 0.000  1.44
Co2 0.250 0.250 0.250  1.65
Cu1 0.500 0.500 0.500  0.01
In1 0.750 0.750 0.750  -0.03

***

Record 15
Here is BaSr5Ca5 after structural relaxation from Alexandria. Energies are from GGA-PBE.

Results
DOS at the Fermi energy ... 15.3 states/eV per cell
DFT formation energy ... 0.1047 eV per atom
Total moment ... 1.80 μB per formula unit
Symmetry ... P-6m2 (187)

Cell: 7.062 7.062 13.248 Å, 90.00 90.00 120.00°
Last column: magnetic moment on the atom in μB.
Sites, in units of the cell vectors:
Ba1 0.333 0.667 0.000  0.09
Sr1 0.667 0.333 0.188  0.03
Sr2 0.667 0.333 0.812  0.03
Sr3 0.333 0.667 0.330  0.02
Sr4 0.333 0.667 0.670  0.02
Sr5 0.000 0.000 0.000  0.07
Ca1 0.337 0.168 0.500  0.01
Ca2 0.000 0.000 0.266  0.03
Ca3 0.832 0.663 0.500  0.01
Ca4 0.832 0.168 0.500  0.01
Ca5 0.000 0.000 0.734  0.03

***

Record 16
Here is RbTi2InCl8 after structural relaxation from Alexandria. Energies are from GGA-PBE.

Results
DOS at the Fermi energy ... 13.1 states/eV per cell
Total moment ... 2.00 μB per formula unit
Energy relative to the elements, uncorrected ... -1.4637 eV per atom
Symmetry ... P-3 (147)

Cell: 6.990 6.990 10.487 Å, 90.00 90.00 120.00°
Last column: magnetic moment on the atom in μB.
Sites, in units of the cell vectors:
Rb1 0.000 0.000 0.000  0.00
Ti1 0.667 0.333 0.217  0.89
Ti2 0.333 0.667 0.783  0.89
In1 0.000 0.000 0.500  0.01
Cl1 0.333 0.667 0.999  -0.01
Cl2 0.339 0.298 0.283  -0.01
Cl3 0.702 0.041 0.283  -0.01
Cl4 0.667 0.333 0.001  -0.01
Cl5 0.298 0.959 0.717  -0.01
Cl6 0.661 0.702 0.717  -0.01
Cl7 0.041 0.339 0.717  -0.01
Cl8 0.959 0.661 0.283  -0.01

***

Record 17
Here is Pr2ScAl3Au4 after structural relaxation from Alexandria. Energies are from GGA-PBE.

Results
DOS at the Fermi energy ... 7.2 states/eV per cell
DFT formation energy ... -0.7178 eV per atom
Total moment ... 0.00 μB per formula unit
Symmetry ... P-4m2 (115)

Cell: 4.505 4.505 10.683 Å, 90.00 90.00 90.00°
Sites, in units of the cell vectors:
Pr1 0.500 0.000 0.235
Pr2 0.000 0.500 0.765
Sc1 0.500 0.500 0.500
Al1 0.000 0.000 0.500
Al2 0.500 0.000 0.875
Al3 0.000 0.500 0.125
Au1 0.500 0.500 0.000
Au2 0.000 0.000 0.000
Au3 0.500 0.000 0.642
Au4 0.000 0.500 0.358

***

Record 18
Here is Li6Ag5 after structural relaxation from Alexandria. Energies are from GGA-PBE.

Results
DOS at the Fermi energy ... 3.2 states/eV per cell
DFT formation energy ... -0.1694 eV per atom
Total moment ... 0.00 μB per formula unit
Symmetry ... C2/m (12)

Cell: 7.610 7.787 4.549 Å, 72.85 52.89 60.75°
Sites, in units of the cell vectors:
Li1 0.767 0.000 0.731
Li2 0.233 0.000 0.269
Li3 0.391 0.689 0.765
Li4 0.920 0.689 0.235
Li5 0.609 0.311 0.235
Li6 0.080 0.311 0.765
Ag1 0.500 0.000 0.500
Ag2 0.337 0.327 0.000
Ag3 0.663 0.673 0.000
Ag4 0.184 0.633 0.500
Ag5 0.816 0.367 0.500

***

Record 19
Here is YHfHg2 after structural relaxation from Alexandria. Energies are from GGA-PBE.

Results
DOS at the Fermi energy ... 3.6 states/eV per cell
DFT formation energy ... -0.2149 eV per atom
Total moment ... 0.65 μB per formula unit
Symmetry ... P4/mmm (123)
Relative energy among the computed polymorphs ... 0 meV per atom

Cell: 3.600 3.600 7.211 Å, 90.00 90.00 90.00°
Last column: magnetic moment on the atom in μB.
Sites, in units of the cell vectors:
Y1 0.500 0.500 0.500  0.17
Hf1 0.500 0.500 0.000  0.21
Hg1 0.000 0.000 0.770  0.01
Hg2 0.000 0.000 0.230  0.01

***

Record 20
Here is KBeSe after structural relaxation from Alexandria. Energies are from GGA-PBE.

Results
DOS at the Fermi energy ... 6.6 states/eV per cell
Total moment ... 0.00 μB per formula unit
Energy relative to the elements, uncorrected ... -0.0757 eV per atom
Symmetry ... Fddd (70)
Relative energy among the computed polymorphs ... 563 meV per atom

Cell: 7.362 7.362 8.003 Å, 113.76 113.76 97.11°
Sites, in units of the cell vectors:
K1 0.638 0.638 0.275
K2 0.362 0.362 0.725
K3 0.612 0.112 0.225
K4 0.888 0.388 0.775
Se1 0.049 0.549 0.500
Se2 0.799 0.799 0.000
Se3 0.451 0.951 0.500
Se4 0.201 0.201 0.000
Be1 0.125 0.375 0.250
Be2 0.125 0.875 0.750
Be3 0.125 0.875 0.250
Be4 0.625 0.875 0.750

***

Record 21
Here is LuTaOs after structural relaxation from Alexandria. Energies are from GGA-PBE.

Results
DOS at the Fermi energy ... 2.9 states/eV per cell
DFT formation energy ... -0.1566 eV per atom
Total moment ... 0.00 μB per formula unit
Symmetry ... I4mm (107)

Cell: 3.248 3.248 5.866 Å, 106.07 106.07 90.00°
Sites, in units of the cell vectors:
Lu1 0.610 0.610 0.220
Os1 0.935 0.935 0.870
Ta1 0.305 0.305 0.610

***

Record 22
Here is ZnRuPtRh after structural relaxation from Alexandria. Energies are from GGA-PBE.

Results
DOS at the Fermi energy ... 5.5 states/eV per cell
DFT formation energy ... 0.0721 eV per atom
Total moment ... 2.86 μB per formula unit
Symmetry ... F-43m (216)

Cell: 4.385 4.385 4.385 Å, 60.00 60.00 60.00°
Last column: magnetic moment on the atom in μB.
Sites, in units of the cell vectors:
Ru1 0.500 0.500 0.500  1.72
Zn1 0.000 0.000 0.000  0.01
Rh1 0.750 0.750 0.750  0.71
Pt1 0.250 0.250 0.250  0.33

***

Record-wise theoretical density values, in g/cm³: 3.3, 6.8, 7.6, 8.0, 2.6, 4.7, 5.6, 7.8, 11.4, 10.3, 7.7, 14.0, 2.3, 9.0, 2.3, 2.2, 9.2, 5.1, 11.9, 2.5, 15.9, 12.9
Record-wise total energy values, in eV per atom: -3.32, -6.10, -3.82, -3.47, -1.63, -5.92, -5.95, -5.84, -5.87, -3.84, -5.36, -5.71, -3.99, -5.05, -1.74, -4.32, -4.74, -2.51, -4.47, -2.85, -9.36, -5.91